DFT (GGA-PBE) results for a relaxed PrErSc2Se4 crystal.

Values from the calculation:
- Space-group type: P2/m, No. 10
- Total DFT energy (no corrections): -49.2 eV for the cell shown
- Energy relative to the elements, uncorrected: -1661.7 meV per atom
- M_tot: 0.0 μB/f.u.

extended XYZ file:
```
8
Lattice="6.9630 0.0000 0.0000 0.0000 3.9622 0.0000 -2.2610 0.0000 6.6478" Properties=species:S:1:pos:R:3 pbc="T T T"
Pr 0.0000 0.0000 0.0000
Er 3.4815 1.9811 0.0000
Sc -1.1305 1.9811 3.3239
Sc 2.3510 0.0000 3.3239
Se 0.1078 0.0000 4.8660
Se 1.2420 1.9811 1.8281
Se 3.4599 1.9811 4.8197
Se 4.5941 0.0000 1.7818
```